No. 1
Crystalline Cs2BAs2 at its relaxed geometry, computed with PBE.

Results
Density (g/cm³): 3.735
DFT formation energy (eV/atom): -0.11
DOS at the Fermi energy (states/eV/cell): 14.48
Magnetization (Bohr magnetons per cell): 1.8
Total DFT energy (no corrections) (eV/cell): -72.96

abc: 15.2659 7.3765 7.8516
angles: 90.00 120.92 90.00
Space group C2/m (No. 12)
Asymmetric unit:
Cs 0.9999 0.0000 0.2493 x4
Cs 0.1971 0.5000 0.1969 x4
B 0.1149 0.5000 0.6145 x4
As 0.9999 0.5000 0.3165 x4
As 0.2389 0.0000 0.2397 x4

***

No. 2
Crystalline LaNbHgSb2 at its relaxed geometry, computed with PBE.

Results
Density (g/cm³): 6.926
Formation energy (no corrections) (kJ/mol of atoms): 63.02
DOS at the Fermi energy (states/eV/cell): 5.54
Energy above the most stable polymorph in this dataset (meV per atom): 0
Magnetization (Bohr magnetons per cell): 3.3
Total DFT energy (no corrections) (eV/cell): -20.28

abc: 5.5679 5.5679 5.2271
angles: 90.00 90.00 90.00
Space group P4/mmm (No. 123)
Asymmetric unit:
La 0.0000 0.0000 0.0000 x1
Nb 0.5000 0.5000 0.0000 x1
Hg 0.5000 0.5000 0.5000 x1
Sb 0.0000 0.5000 0.5000 x2

***

No. 3
Crystalline ReMoPd at its relaxed geometry, computed with PBE.

Results
Density (g/cm³): 13.918
DFT formation energy (eV/atom): 0.17
DOS at the Fermi energy (states/eV/cell): 2.50
Energy above the most stable polymorph in this dataset (meV per atom): 130
Magnetization (Bohr magnetons per cell): 0.0
Total DFT energy (no corrections) (eV/cell): -27.96

abc: 4.5110 4.5110 2.6307
angles: 90.00 90.00 120.00
Space group P3m1 (No. 156)
Asymmetric unit:
Re 0.0000 0.0000 0.0000 x1
Mo 0.3333 0.6667 0.6244 x1
Pd 0.6667 0.3333 0.1361 x1

***

No. 4
Crystalline Er2CdTe at its relaxed geometry, computed with PBE.

Results
Density (g/cm³): 8.356
Formation energy (no corrections) (kJ/mol of atoms): -62.55
DOS at the Fermi energy (states/eV/cell): 12.44
Energy above the most stable polymorph in this dataset (meV per atom): 39
Magnetization (Bohr magnetons per cell): 0.8
Total DFT energy (no corrections) (eV/cell): -47.33

abc: 3.9436 3.9436 25.4321
angles: 90.00 90.00 120.00
Space group R3m (No. 160, hexagonal axes)
Asymmetric unit:
Er 0.0000 0.0000 0.0000 x3
Er 0.0000 0.0000 0.1635 x3
Cd 0.0000 0.0000 0.5824 x3
Te 0.0000 0.0000 0.4146 x3

***

No. 5
Crystalline PrGaBi at its relaxed geometry, computed with PBE.

Results
Density (g/cm³): 8.040
DFT formation energy (eV/atom): -0.46
DOS at the Fermi energy (states/eV/cell): 1.74
Energy above the most stable polymorph in this dataset (meV per atom): 0
Magnetization (Bohr magnetons per cell): 0.0
Total DFT energy (no corrections) (eV/cell): -13.08

abc: 4.8799 4.8799 4.2024
angles: 90.00 90.00 120.00
Space group P3m1 (No. 156)
Asymmetric unit:
Pr 0.0000 0.0000 0.0000 x1
Ga 0.6667 0.3333 0.3647 x1
Bi 0.3333 0.6667 0.5348 x1

***

No. 6
Crystalline Sm2RhS at its relaxed geometry, computed with PBE.

Results
Density (g/cm³): 7.876
Formation energy (no corrections) (kJ/mol of atoms): -131.49
DOS at the Fermi energy (states/eV/cell): 7.82
Energy above the most stable polymorph in this dataset (meV per atom): 0
Magnetization (Bohr magnetons per cell): 0.0
Total DFT energy (no corrections) (eV/cell): -105.47

abc: 3.9438 22.8152 4.0836
angles: 90.00 90.00 90.00
Space group Cmcm (No. 63)
Asymmetric unit:
Sm 0.0000 0.0665 0.2500 x4
Sm 0.0000 0.3173 0.2500 x4
Rh 0.0000 0.4564 0.2500 x4
S 0.0000 0.1916 0.2500 x4

***

No. 7
Crystalline BaCuClF2 at its relaxed geometry, computed with PBE.

Results
Density (g/cm³): 4.636
Formation energy (no corrections) (kJ/mol of atoms): -218.23
Magnetization (Bohr magnetons per cell): 0.0
Total DFT energy (no corrections) (eV/cell): -91.67

abc: 6.7113 6.7113 8.7252
angles: 90.00 90.00 90.00
Space group I4/mcm (No. 140)
Asymmetric unit:
Ba 0.0000 0.5000 0.2500 x4
Cu 0.0000 0.0000 0.0000 x4
Cl 0.0000 0.0000 0.2500 x4
F 0.1602 0.3398 0.0000 x8

***

No. 8
Crystalline CuPd2Se at its relaxed geometry, computed with PBE.

Results
Density (g/cm³): 9.580
Formation energy (no corrections) (kJ/mol of atoms): -7.02
DOS at the Fermi energy (states/eV/cell): 1.94
Magnetization (Bohr magnetons per cell): 0.0
Total DFT energy (no corrections) (eV/cell): -18.26

abc: 4.4974 4.4974 3.0452
angles: 90.00 90.00 90.00
Space group P4/mmm (No. 123)
Asymmetric unit:
Cu 0.0000 0.0000 0.0000 x1
Pd 0.0000 0.5000 0.5000 x2
Se 0.5000 0.5000 0.0000 x1

***

No. 9
Crystalline Ti6CoHg3 at its relaxed geometry, computed with PBE.

Results
Density (g/cm³): 7.953
DFT formation energy (eV/atom): 0.20
DOS at the Fermi energy (states/eV/cell): 28.65
Magnetization (Bohr magnetons per cell): 0.1
Total DFT energy (no corrections) (eV/cell): -106.84

abc: 10.2762 5.8651 6.9128
angles: 90.00 108.19 90.00
Space group C2/m (No. 12)
Asymmetric unit:
Ti 0.1157 0.2416 0.3747 x8
Ti 0.1930 0.5000 0.7997 x4
Co 0.0000 0.5000 0.5000 x2
Hg 0.0000 0.0000 0.0000 x2
Hg 0.1937 0.0000 0.7627 x4

***

No. 10
Crystalline FeCuSb2 at its relaxed geometry, computed with PBE.

Results
Density (g/cm³): 7.056
Formation energy (no corrections) (kJ/mol of atoms): 18.09
DOS at the Fermi energy (states/eV/cell): 7.04
Magnetization (Bohr magnetons per cell): 7.0
Total DFT energy (no corrections) (eV/cell): -60.16

abc: 4.0406 4.0406 18.1211
angles: 90.00 90.00 120.00
Space group R3m (No. 160, hexagonal axes)
Asymmetric unit:
Fe 0.0000 0.0000 0.0000 x3
Cu 0.0000 0.0000 0.7034 x3
Sb 0.0000 0.0000 0.2612 x3
Sb 0.0000 0.0000 0.4378 x3

***

No. 11
Crystalline SmHoLu2 at its relaxed geometry, computed with PBE.

Results
Density (g/cm³): 8.863
DFT formation energy (eV/atom): 0.10
DOS at the Fermi energy (states/eV/cell): 22.44
Energy above the most stable polymorph in this dataset (meV per atom): 75
Magnetization (Bohr magnetons per cell): 0.0
Total DFT energy (no corrections) (eV/cell): -71.68

abc: 7.9292 7.9292 7.9292
angles: 90.00 90.00 90.00
Space group Fm-3m (No. 225)
Asymmetric unit:
Sm 0.0000 0.0000 0.0000 x4
Ho 0.0000 0.0000 0.5000 x4
Lu 0.2500 0.2500 0.2500 x8

***

No. 12
Crystalline SbH6Pd12 at its relaxed geometry, computed with PBE.

Results
Density (g/cm³): 9.412
DOS at the Fermi energy (states/eV/cell): 42.58
Energy above the most stable polymorph in this dataset (meV per atom): 218
Magnetization (Bohr magnetons per cell): 0.0
Total DFT energy (no corrections) (eV/cell): -253.22

abc: 10.3315 10.3315 8.0441
angles: 90.00 90.00 120.00
Space group R-3m (No. 166, hexagonal axes)
Asymmetric unit:
Sb 0.0000 0.0000 0.0000 x3
H 0.1078 0.5539 0.3924 x18
Pd 0.0000 0.3690 0.5000 x18
Pd 0.0891 0.1781 0.3604 x18

***

No. 13
Crystalline Mg2ZrF at its relaxed geometry, computed with PBE.

Results
Density (g/cm³): 3.121
Formation energy (no corrections) (kJ/mol of atoms): 2.94
DOS at the Fermi energy (states/eV/cell): 16.79
Energy above the most stable polymorph in this dataset (meV per atom): 752
Magnetization (Bohr magnetons per cell): 2.3
Total DFT energy (no corrections) (eV/cell): -53.95

abc: 6.9663 6.9663 6.9663
angles: 90.00 90.00 90.00
Space group Fm-3m (No. 225)
Asymmetric unit:
Mg 0.2500 0.2500 0.2500 x8
Zr 0.0000 0.0000 0.0000 x4
F 0.0000 0.0000 0.5000 x4

***

No. 14
Crystalline LiAcBiIr at its relaxed geometry, computed with PBE.

Results
Density (g/cm³): 11.397
DFT formation energy (eV/atom): -0.39
DOS at the Fermi energy (states/eV/cell): 9.88
Magnetization (Bohr magnetons per cell): 0.0
Total DFT energy (no corrections) (eV/cell): -81.35

abc: 7.1801 7.1801 7.1801
angles: 90.00 90.00 90.00
Space group F-43m (No. 216)
Asymmetric unit:
Li 0.0000 0.0000 0.0000 x4
Ac 0.2500 0.2500 0.2500 x4
Bi 0.2500 0.2500 0.7500 x4
Ir 0.0000 0.0000 0.5000 x4

***

No. 15
Crystalline Co2H2Pb at its relaxed geometry, computed with PBE.

Results
Density (g/cm³): 9.851
DOS at the Fermi energy (states/eV/cell): 7.26
Magnetization (Bohr magnetons per cell): 3.3
Total DFT energy (no corrections) (eV/cell): -46.76

abc: 3.2571 3.2571 10.3942
angles: 90.00 90.00 90.00
Space group I4/mmm (No. 139)
Asymmetric unit:
Co 0.0000 0.0000 0.1954 x4
H 0.0000 0.5000 0.2500 x4
Pb 0.0000 0.0000 0.5000 x2

***

No. 16
Crystalline Be5Tc at its relaxed geometry, computed with PBE.

Results
Density (g/cm³): 4.513
DFT formation energy (eV/atom): -0.18
DOS at the Fermi energy (states/eV/cell): 2.25
Energy above the most stable polymorph in this dataset (meV per atom): 0
Magnetization (Bohr magnetons per cell): 0.0
Total DFT energy (no corrections) (eV/cell): -30.07

abc: 4.2484 4.2484 3.3679
angles: 90.00 90.00 120.00
Space group P6/mmm (No. 191)
Asymmetric unit:
Be 0.0000 0.5000 0.0000 x3
Be 0.3333 0.6667 0.5000 x2
Tc 0.0000 0.0000 0.5000 x1

***

No. 17
Crystalline Tb4Pr5Y at its relaxed geometry, computed with PBE.

Results
Density (g/cm³): 6.961
DFT formation energy (eV/atom): 0.02
DOS at the Fermi energy (states/eV/cell): 13.56
Energy above the most stable polymorph in this dataset (meV per atom): 0
Magnetization (Bohr magnetons per cell): 0.0
Total DFT energy (no corrections) (eV/cell): -48.72

abc: 3.6418 9.6117 10.3130
angles: 74.32 89.94 79.19
Space group P-1 (No. 2)
Asymmetric unit:
Tb 0.1003 0.2987 0.2962 x2
Tb 0.2998 0.8989 0.9004 x2
Pr 0.1006 0.3001 0.8043 x2
Pr 0.3001 0.9008 0.3994 x2
Pr 0.5000 0.5000 0.5000 x1
Y 0.5000 0.5000 0.0000 x1

***

No. 18
Crystalline Ba2AcThS4 at its relaxed geometry, computed with PBE.

Results
Density (g/cm³): 6.193
Formation energy (no corrections) (kJ/mol of atoms): -186.75
DOS at the Fermi energy (states/eV/cell): 4.76
Magnetization (Bohr magnetons per cell): 0.0
Total DFT energy (no corrections) (eV/cell): -47.37

abc: 7.4635 4.2824 7.6357
angles: 90.00 108.74 90.00
Space group P2/m (No. 10)
Asymmetric unit:
Ba 0.0000 0.0000 0.0000 x1
Ba 0.5000 0.5000 0.0000 x1
Ac 0.0000 0.5000 0.5000 x1
Th 0.5000 0.0000 0.5000 x1
S 0.2550 0.0000 0.7265 x2
S 0.2715 0.5000 0.2795 x2

***

No. 19
Crystalline LaSeBr2Cl at its relaxed geometry, computed with PBE.

Results
Density (g/cm³): 3.342
Formation energy (no corrections) (kJ/mol of atoms): -88.78
DOS at the Fermi energy (states/eV/cell): 4.12
Energy above the most stable polymorph in this dataset (meV per atom): 0
Magnetization (Bohr magnetons per cell): 2.0
Total DFT energy (no corrections) (eV/cell): -18.21

abc: 5.7432 5.7432 6.2228
angles: 90.00 90.00 90.00
Space group P4/mmm (No. 123)
Asymmetric unit:
La 0.0000 0.0000 0.0000 x1
Se 0.0000 0.0000 0.5000 x1
Br 0.0000 0.5000 0.0000 x2
Cl 0.5000 0.5000 0.5000 x1

***

No. 20
Crystalline CaErAs at its relaxed geometry, computed with PBE.

Results
Density (g/cm³): 4.931
DFT formation energy (eV/atom): -0.83
DOS at the Fermi energy (states/eV/cell): 12.21
Magnetization (Bohr magnetons per cell): 0.8
Total DFT energy (no corrections) (eV/cell): -82.13

abc: 4.0746 4.0746 39.6671
angles: 90.00 90.00 120.00
Space group R-3m (No. 166, hexagonal axes)
Asymmetric unit:
Ca 0.0000 0.0000 0.2101 x6
Er 0.0000 0.0000 0.3737 x6
As 0.0000 0.0000 0.0795 x6